Entry from Alexandria: a crystal of La2BeOs relaxed with PBEsol (meta-GGA SCAN).

Summary:
- E: -40.385 eV/atom
- Crystal system: cubic
- Formation enthalpy at 0 K: 226 meV per atom
- Volume: 78.2 Å³/f.u.
- Symmetry: No. 216
- Spin magnetization: 0.000 μB/cell

abc: 4.7993 4.7993 4.7993
angles: 60.00 60.00 60.00
Last column: nearest neighbours and their distance in Å.
Atoms (fractional coordinates):
La 0.2500 0.2500 0.2500  4 Be 2.94, 4 La 2.94
Be 0.5000 0.5000 0.5000  4 La 2.94, 4 Os 2.94
La 0.0000 0.0000 0.0000  4 La 2.94, 4 Os 2.94
Os 0.7500 0.7500 0.7500  4 Be 2.94, 4 La 2.94